(1)
## RbCo2BC (PBE)

Data for a relaxed RbCo2BC crystal.

a = 4.5595 Å, b = 4.5595 Å, c = 3.0318 Å
α = 90.00°, β = 90.00°, γ = 90.00°
Last column: nearest neighbours and their distance in Å.
Element x y z (fractional)
Rb: 0.0000 0.0000 0.0000  8 Co 2.74, 2 Rb 3.03
Co: 0.0000 0.5000 0.5000  2 B 2.28
Co: 0.5000 0.0000 0.5000  2 B 2.28
B: 0.5000 0.5000 0.5000  2 C 1.52
C: 0.5000 0.5000 0.0000  2 B 1.52

symmetry = No. 123
energy relative to the elements = 1.428 eV per atom

---

(2)
## ScCo2BC (PBE)

Data for a relaxed ScCo2BC crystal.

a = 5.2605 Å, b = 5.2605 Å, c = 6.3175 Å
α = 90.00°, β = 90.00°, γ = 143.15°
Last column: nearest neighbours and their distance in Å.
Element x y z (fractional)
Sc: 0.0491 0.9509 0.7500  4 C 2.34
Sc: 0.9509 0.0491 0.2500  4 C 2.34
Co: 0.3288 0.6712 0.5601  1 C 1.75
Co: 0.3288 0.6712 0.9399  1 C 1.75
Co: 0.6712 0.3288 0.0601  1 C 1.75
Co: 0.6712 0.3288 0.4399  1 C 1.75
B: 0.2330 0.7670 0.2500  6 Co 2.14-2.18
B: 0.7670 0.2330 0.7500  6 Co 2.14-2.18
C: 0.5000 0.5000 0.0000  2 Co 1.75
C: 0.5000 0.5000 0.5000  2 Co 1.75

symmetry = No. 63
energy relative to the elements = -0.387 eV per atom

---

(3)
## SmCo2BC (PBE)

Data for a relaxed SmCo2BC crystal.

a = 5.3453 Å, b = 5.3453 Å, c = 6.5924 Å
α = 90.00°, β = 90.00°, γ = 140.23°
Last column: nearest neighbours and their distance in Å.
Element x y z (fractional)
Sm: 0.0540 0.9460 0.7500  4 C 2.51
Sm: 0.9460 0.0540 0.2500  4 C 2.51
Co: 0.3281 0.6719 0.5618  1 C 1.78
Co: 0.3281 0.6719 0.9382  1 C 1.78
Co: 0.6719 0.3281 0.0618  1 C 1.78
Co: 0.6719 0.3281 0.4382  1 C 1.78
B: 0.2285 0.7715 0.2500  6 Co 2.27-2.29
B: 0.7715 0.2285 0.7500  6 Co 2.27-2.29
C: 0.5000 0.5000 0.0000  2 Co 1.78
C: 0.5000 0.5000 0.5000  2 Co 1.78

symmetry = No. 63
energy relative to the elements = -0.199 eV per atom

---

(4)
## TbCo2B2C (PBE)

Data for a relaxed TbCo2B2C crystal.

a = 5.7212 Å, b = 5.7212 Å, c = 5.7212 Å
α = 143.81°, β = 143.81°, γ = 52.11°
Last column: nearest neighbours and their distance in Å.
Element x y z (fractional)
Tb: 0.0000 0.0000 0.0000  4 C 2.51
Co: 0.2500 0.7500 0.5000  4 B 2.07
Co: 0.7500 0.2500 0.5000  4 B 2.07
B: 0.3535 0.3535 0.0000  1 C 1.51
B: 0.6465 0.6465 0.0000  1 C 1.51
C: 0.5000 0.5000 0.0000  2 B 1.51

symmetry = No. 139
energy relative to the elements = -0.441 eV per atom

---

(5)
## TbCo2BC (PBE)

Data for a relaxed TbCo2BC crystal.

a = 5.3162 Å, b = 5.3162 Å, c = 6.5362 Å
α = 90.00°, β = 90.00°, γ = 140.93°
Last column: nearest neighbours and their distance in Å.
Element x y z (fractional)
Tb: 0.0531 0.9469 0.7500  4 C 2.47
Tb: 0.9469 0.0531 0.2500  4 C 2.47
Co: 0.3281 0.6719 0.5618  1 C 1.77
Co: 0.3281 0.6719 0.9382  1 C 1.77
Co: 0.6719 0.3281 0.0618  1 C 1.77
Co: 0.6719 0.3281 0.4382  1 C 1.77
B: 0.2292 0.7708 0.2500  6 Co 2.24-2.27
B: 0.7708 0.2292 0.7500  6 Co 2.24-2.27
C: 0.5000 0.5000 0.0000  2 Co 1.77
C: 0.5000 0.5000 0.5000  2 Co 1.77

symmetry = No. 63
energy relative to the elements = -0.288 eV per atom

---

(6)
## TmCo2B2C (PBE)

Data for a relaxed TmCo2B2C crystal.

a = 5.7554 Å, b = 5.7554 Å, c = 5.7554 Å
α = 144.68°, β = 144.68°, γ = 50.80°
Last column: nearest neighbours and their distance in Å.
Element x y z (fractional)
Tm: 0.0000 0.0000 0.0000  4 C 2.47
Co: 0.2500 0.7500 0.5000  4 B 2.06
Co: 0.7500 0.2500 0.5000  4 B 2.06
B: 0.3555 0.3555 0.0000  1 C 1.50
B: 0.6445 0.6445 0.0000  1 C 1.50
C: 0.5000 0.5000 0.0000  2 B 1.50

symmetry = No. 139
energy relative to the elements = -0.461 eV per atom